1.
## Dy2YThS4 (PBE)

Data for a relaxed structure of Dy2YThS4.

Lattice parameters (Å, degrees): 6.850 3.917 6.853 90.00 109.16 90.00
Fractional positions:
Dy  0.000  0.000  0.000
Dy  0.000  0.500  0.500
Y  0.500  0.000  0.500
Th  0.500  0.500  0.000
S  0.240  0.000  0.741
S  0.245  0.500  0.254
S  0.755  0.500  0.746
S  0.760  0.000  0.259

Summary:
**Formation energy without anion corrections**: -15.527 eV per formula unit
**DFT total energy**: -6.891 eV per atom
**Space group**: P2/m, No. 10
**DOS at the Fermi energy**: 3.31 states/eV per cell

---

2.
## Ho5Tm8Mg (PBE)

Data for a relaxed structure of Ho5Tm8Mg.

Lattice parameters (Å, degrees): 8.295 8.295 8.295 110.47 110.47 107.49
Fractional positions:
Ho  0.000  0.000  0.000
Ho  0.314  0.629  0.103
Ho  0.371  0.474  0.686
Ho  0.526  0.211  0.897
Ho  0.789  0.686  0.314
Tm  0.023  0.418  0.257
Tm  0.067  0.157  0.730
Tm  0.161  0.766  0.743
Tm  0.234  0.977  0.395
Tm  0.426  0.337  0.270
Tm  0.582  0.839  0.605
Tm  0.663  0.933  0.090
Tm  0.843  0.574  0.910
Mg  0.750  0.250  0.500

Summary:
**Energy of formation**: 3.31 eV/f.u.
**DFT total energy**: -4.067 eV per atom
**Space group**: I-4, No. 82
**DOS at the Fermi energy**: 18.24 states/eV per cell

---

3.
## AcPrGa (PBE)

Data for a relaxed structure of AcPrGa.

Lattice parameters (Å, degrees): 5.289 5.289 5.289 60.00 60.00 60.00
Fractional positions:
Ac  0.000  0.000  0.000
Pr  0.500  0.500  0.500
Ga  0.750  0.750  0.750

Summary:
**Energy of formation**: -0.64 eV/f.u.
**DFT total energy**: -4.185 eV per atom
**Space group**: F-43m, No. 216
**DOS at the Fermi energy**: 3.58 states/eV per cell